No. 1
Density functional theory data (PBE-GGA) for crystalline HfBeGe at its relaxed geometry.

Results
The value obtained for the volume is 15.035 Å³ per atom. Its formation energy from the elements is -40 kJ per mole of atoms.

Cell: 3.754 6.656 3.611 Å, 90.00 90.00 90.00°
Element x y z (fractional)
1 Be 0.000 0.154 0.000
2 Be 0.000 0.846 0.000
3 Ge 0.500 0.683 0.000
4 Ge 0.500 0.317 0.000
5 Hf 0.000 0.500 0.500
6 Hf 0.500 0.000 0.500

***

No. 2
Density functional theory data (PBE-GGA) for crystalline Ca3Ag2F8 at its relaxed geometry.

Results
The value obtained for the volume is 17.716 Å³ per atom. The total energy comes out at -5.00 eV/atom.

Cell: 3.665 6.906 9.641 Å, 70.69 90.00 90.00°
Element x y z (fractional)
1 Ca 0.500 0.000 0.000
2 Ca 0.000 0.741 0.331
3 Ca 0.000 0.259 0.669
4 Ag 0.500 0.752 0.683
5 Ag 0.500 0.248 0.317
6 F 0.000 0.392 0.407
7 F 0.000 0.608 0.593
8 F 0.000 0.949 0.870
9 F 0.000 0.051 0.130
10 F 0.500 0.306 0.813
11 F 0.500 0.893 0.388
12 F 0.500 0.107 0.612
13 F 0.500 0.694 0.187

***

No. 3
Density functional theory data (PBE-GGA) for crystalline RbNa5TlHg2 at its relaxed geometry.

Results
The value obtained for the volume is 42.332 Å³ per atom. Its formation energy from the elements is -4 kJ per mole of atoms.

Cell: 5.640 5.640 11.978 Å, 90.00 90.00 90.00°
Element x y z (fractional)
1 Rb 0.500 0.500 0.500
2 Na 0.000 0.000 0.500
3 Na 0.000 0.500 0.850
4 Na 0.500 0.000 0.150
5 Na 0.000 0.500 0.150
6 Na 0.500 0.000 0.850
7 Tl 0.000 0.000 0.000
8 Hg 0.000 0.000 0.258
9 Hg 0.000 0.000 0.742

***

No. 4
Density functional theory data (PBE-GGA) for crystalline Cs2KNaP at its relaxed geometry.

Results
The value obtained for the volume is 58.582 Å³ per atom. Its formation energy from the elements is -1 kJ per mole of atoms.

Cell: 7.237 7.237 5.593 Å, 90.00 90.00 90.00°
Element x y z (fractional)
1 Cs 0.000 0.500 0.000
2 Cs 0.500 0.000 0.000
3 P 0.000 0.000 0.000
4 K 0.500 0.500 0.500
5 Na 0.000 0.000 0.500

***

No. 5
Density functional theory data (PBE-GGA) for crystalline BaTlW at its relaxed geometry.

Results
Its energy above the most stable polymorph in this dataset is 0.002 eV/atom. The value obtained for the volume is 25.850 Å³ per atom. Its formation energy from the elements is 99 kJ per mole of atoms.

Cell: 8.248 8.249 3.124 Å, 79.06 79.11 21.83°
Element x y z (fractional)
1 Tl 0.685 0.685 0.315
2 Ba 0.992 0.992 0.008
3 W 0.323 0.323 0.677

***

No. 6
Density functional theory data (PBE-GGA) for crystalline CsRb2H6Rh at its relaxed geometry.

Results
The value obtained for the volume is 17.644 Å³ per atom. The total energy comes out at -3.32 eV/atom.

Cell: 6.296 6.296 6.296 Å, 60.00 60.00 60.00°
Element x y z (fractional)
1 Cs 0.500 0.500 0.500
2 Rb 0.750 0.750 0.750
3 Rb 0.250 0.250 0.250
4 H 0.188 0.812 0.812
5 H 0.188 0.812 0.188
6 H 0.188 0.188 0.812
7 H 0.812 0.812 0.188
8 H 0.812 0.188 0.188
9 H 0.812 0.188 0.812
10 Rh 0.000 0.000 0.000

***

No. 7
Density functional theory data (PBE-GGA) for crystalline Ho2ErPd9 at its relaxed geometry.

Results
The value obtained for the volume is 17.367 Å³ per atom. Its formation energy from the elements is -86 kJ per mole of atoms.

Cell: 4.110 4.110 12.335 Å, 90.00 90.00 90.00°
Element x y z (fractional)
1 Ho 0.000 0.000 0.333
2 Ho 0.000 0.000 0.667
3 Er 0.000 0.000 0.000
4 Pd 0.500 0.500 0.000
5 Pd 0.500 0.500 0.333
6 Pd 0.500 0.500 0.667
7 Pd 0.500 0.000 0.166
8 Pd 0.500 0.000 0.500
9 Pd 0.500 0.000 0.834
10 Pd 0.000 0.500 0.166
11 Pd 0.000 0.500 0.500
12 Pd 0.000 0.500 0.834

***

No. 8
Density functional theory data (PBE-GGA) for crystalline Np2Al12Au7 at its relaxed geometry.

Results
The value obtained for the volume is 18.663 Å³ per atom. Its formation energy from the elements is -32 kJ per mole of atoms.

Cell: 4.105 10.500 10.500 Å, 120.00 90.00 90.00°
Element x y z (fractional)
1 Np 0.264 0.333 0.667
2 Np 0.736 0.667 0.333
3 Al 0.254 0.619 0.054
4 Al 0.254 0.436 0.381
5 Al 0.254 0.946 0.564
6 Al 0.746 0.381 0.946
7 Al 0.746 0.564 0.619
8 Al 0.746 0.054 0.436
9 Al 0.261 0.116 0.267
10 Al 0.261 0.151 0.884
11 Al 0.261 0.733 0.849
12 Al 0.739 0.884 0.733
13 Al 0.739 0.849 0.116
14 Al 0.739 0.267 0.151
15 Au 0.500 0.000 0.000
16 Au 0.235 0.881 0.292
17 Au 0.235 0.412 0.119
18 Au 0.235 0.708 0.588
19 Au 0.765 0.119 0.708
20 Au 0.765 0.588 0.881
21 Au 0.765 0.292 0.412

***

No. 9
Density functional theory data (PBE-GGA) for crystalline SrFe2RuN at its relaxed geometry.

Results
The value obtained for the volume is 18.596 Å³ per atom. The total energy comes out at -6.49 eV/atom.

Cell: 4.927 3.830 4.927 Å, 90.00 90.00 90.00°
Element x y z (fractional)
1 Ru 0.000 0.000 0.000
2 N 0.000 0.500 0.000
3 Fe 0.000 0.000 0.500
4 Fe 0.500 0.000 0.000
5 Sr 0.500 0.500 0.500

***

No. 10
Density functional theory data (PBE-GGA) for crystalline La8Cu2Pb at its relaxed geometry.

Results
The value obtained for the volume is 31.090 Å³ per atom. Its formation energy from the elements is -16 kJ per mole of atoms.

Cell: 5.077 8.236 9.483 Å, 115.42 105.53 90.00°
Element x y z (fractional)
1 Pb 0.500 0.000 0.000
2 Cu 0.186 0.656 0.372
3 Cu 0.814 0.344 0.628
4 La 0.593 0.471 0.185
5 La 0.315 0.017 0.631
6 La 0.181 0.289 0.362
7 La 0.043 0.759 0.085
8 La 0.819 0.711 0.638
9 La 0.685 0.983 0.369
10 La 0.407 0.529 0.815
11 La 0.957 0.241 0.915

***

No. 11
Density functional theory data (PBE-GGA) for crystalline Sm2Ho3Er3 at its relaxed geometry.

Results
Its energy above the most stable polymorph in this dataset is 0.000 eV/atom. The value obtained for the volume is 31.440 Å³ per atom. Its formation energy from the elements is 2 kJ per mole of atoms.

Cell: 5.014 5.014 10.613 Å, 103.66 103.66 90.00°
Element x y z (fractional)
1 Sm 0.750 0.250 0.500
2 Sm 0.250 0.750 0.500
3 Ho 0.623 0.623 0.247
4 Ho 0.377 0.377 0.753
5 Ho 0.500 0.000 0.000
6 Er 0.123 0.123 0.247
7 Er 0.000 0.500 0.000
8 Er 0.877 0.877 0.753

***

No. 12
Density functional theory data (PBE-GGA) for crystalline KGaSn at its relaxed geometry.

Results
The value obtained for the volume is 28.991 Å³ per atom. Its formation energy from the elements is -8 kJ per mole of atoms.

Cell: 3.474 3.474 7.614 Å, 103.19 103.19 90.00°
Element x y z (fractional)
1 K 0.994 0.994 0.988
2 Sn 0.690 0.690 0.379
3 Ga 0.316 0.316 0.633